The following is a PBE calculation of crystalline PbSe2Br at its relaxed geometry, from Alexandria.

Unit cell a=9.181 b=9.181 c=9.181 alpha=23.67 beta=23.67 gamma=23.67
Fractional coordinates of all 4 atoms:
Pb 0.000 0.000 0.000
Se 0.483 0.483 0.483
Se 0.748 0.748 0.748
Br 0.251 0.251 0.251

## Properties
Its electronic total energy is -3.02 eV per atom. For the energy above the most stable polymorph in this dataset, the calculation gives 405 meV per atom. The value obtained for the formation energy from raw total energies is 0.069 eV per atom. For the total moment, the calculation gives 0.00 Bohr magnetons per cell.

The following is a PBE calculation of crystalline BeGaOF2 at its relaxed geometry, from Alexandria.

Unit cell a=4.015 b=4.015 c=3.678 alpha=90.00 beta=90.00 gamma=90.00
Fractional coordinates of all 5 atoms:
Be 0.000 0.000 0.000
Ga 0.500 0.500 0.500
O 0.500 0.500 0.000
F 0.000 0.500 0.500
F 0.500 0.000 0.500

## Properties
Its electronic total energy is -4.25 eV per atom. For the energy above the most stable polymorph in this dataset, the calculation gives 785 meV per atom. The value obtained for the formation energy from raw total energies is -1.162 eV per atom. For the total moment, the calculation gives 0.82 Bohr magnetons per cell.

The following is a PBE calculation of crystalline Nd3Sm5Ho2 at its relaxed geometry, from Alexandria.

Unit cell a=9.431 b=9.431 c=9.797 alpha=108.49 beta=108.49 gamma=109.57
Fractional coordinates of all 20 atoms:
Nd 0.019 0.271 0.051
Nd 0.230 0.770 0.750
Nd 0.271 0.019 0.551
Nd 0.729 0.981 0.449
Nd 0.770 0.230 0.250
Nd 0.981 0.729 0.949
Sm 0.022 0.978 0.750
Sm 0.146 0.387 0.777
Sm 0.272 0.728 0.250
Sm 0.387 0.146 0.277
Sm 0.472 0.528 0.250
Sm 0.528 0.472 0.750
Sm 0.613 0.854 0.723
Sm 0.728 0.272 0.750
Sm 0.854 0.613 0.223
Sm 0.978 0.022 0.250
Ho 0.222 0.465 0.451
Ho 0.465 0.222 0.951
Ho 0.535 0.778 0.049
Ho 0.778 0.535 0.549

## Properties
Its electronic total energy is -4.52 eV per atom. For the energy above the most stable polymorph in this dataset, the calculation gives 0 meV per atom. For the total moment, the calculation gives 0.00 Bohr magnetons per cell.

The following is a PBE calculation of crystalline Y2Be2Os at its relaxed geometry, from Alexandria.

Unit cell a=9.265 b=9.265 c=9.265 alpha=159.75 beta=159.75 gamma=28.79
Fractional coordinates of all 5 atoms:
Y 0.097 0.097 0.000
Y 0.903 0.903 0.000
Be 0.250 0.750 0.500
Be 0.750 0.250 0.500
Os 0.500 0.500 0.000

## Properties
Its electronic total energy is -6.11 eV per atom. For the energy above the most stable polymorph in this dataset, the calculation gives 162 meV per atom. For the total moment, the calculation gives 0.00 Bohr magnetons per cell.

Question: Look up the electronic total energy of the fourth one.
Answer: -6.11 eV per atom

Question: What is the formula in the second record?
Answer: BeGaOF2